NaReSbPb2: relaxed, PBE.

```
data_NaReSbPb2
_chemical_formula_sum 'Na1 Re1 Sb1 Pb2'
_symmetry_space_group_name_H-M 'P 4/m m m'
_symmetry_Int_Tables_number 123
_symmetry_space_group_name_Hall '-P 4 2'
_cell_length_a 5.983
_cell_length_b 5.983
_cell_length_c 5.047
_cell_angle_alpha 90.00
_cell_angle_beta 90.00
_cell_angle_gamma 90.00
loop_
_atom_site_label
_atom_site_type_symbol
_atom_site_fract_x
_atom_site_fract_y
_atom_site_fract_z
Na1 Na 0.000 0.000 0.000
Re1 Re 0.500 0.500 0.000
Sb1 Sb 0.500 0.500 0.500
Pb1 Pb 0.000 0.500 0.500
```

Properties
Formation energy without anion corrections in kJ/mol of atoms: 104
M_tot in μB per atom: 0.445

NaReSnPb2: relaxed, PBE.

```
data_NaReSnPb2
_chemical_formula_sum 'Na1 Re1 Sn1 Pb2'
_symmetry_space_group_name_H-M 'P 4/m m m'
_symmetry_Int_Tables_number 123
_symmetry_space_group_name_Hall '-P 4 2'
_cell_length_a 5.303
_cell_length_b 5.303
_cell_length_c 5.567
_cell_angle_alpha 90.00
_cell_angle_beta 90.00
_cell_angle_gamma 90.00
loop_
_atom_site_label
_atom_site_type_symbol
_atom_site_fract_x
_atom_site_fract_y
_atom_site_fract_z
Na1 Na 0.000 0.000 0.000
Re1 Re 0.000 0.000 0.500
Sn1 Sn 0.500 0.500 0.000
Pb1 Pb 0.000 0.500 0.500
```

Properties
M_tot in μB per atom: 0.000
E in eV/atom: -4.183

Na2RePbW: relaxed, PBE.

```
data_Na2RePbW
_chemical_formula_sum 'Na2 Re1 Pb1 W1'
_symmetry_space_group_name_H-M 'P 4/m m m'
_symmetry_Int_Tables_number 123
_symmetry_space_group_name_Hall '-P 4 2'
_cell_length_a 5.499
_cell_length_b 5.499
_cell_length_c 4.653
_cell_angle_alpha 90.00
_cell_angle_beta 90.00
_cell_angle_gamma 90.00
loop_
_atom_site_label
_atom_site_type_symbol
_atom_site_fract_x
_atom_site_fract_y
_atom_site_fract_z
Na1 Na 0.000 0.500 0.000
Re1 Re 0.000 0.000 0.000
Pb1 Pb 0.500 0.500 0.500
W1 W 0.000 0.000 0.500
```

Properties
M_tot in μB per atom: 0.000
E in eV/atom: -4.797

NaRhPb4: relaxed, PBE.

```
data_NaRhPb4
_chemical_formula_sum 'Na4 Rh4 Pb16'
_symmetry_space_group_name_H-M 'C 1 2/c 1'
_symmetry_Int_Tables_number 15
_cell_length_a 9.506
_cell_length_b 13.269
_cell_length_c 5.782
_cell_angle_alpha 90.00
_cell_angle_beta 108.39
_cell_angle_gamma 90.00
loop_
_symmetry_equiv_pos_as_xyz
'x,y,z'
'-x,-y,-z'
'-x,y,-z+1/2'
'x,-y,z+1/2'
'x+1/2,y+1/2,z'
'-x+1/2,-y+1/2,-z'
'-x+1/2,y+1/2,-z+1/2'
'x+1/2,-y+1/2,z+1/2'
loop_
_atom_site_label
_atom_site_type_symbol
_atom_site_fract_x
_atom_site_fract_y
_atom_site_fract_z
Na1 Na 0.000 0.115 0.250
Rh1 Rh 0.000 0.498 0.250
Pb1 Pb 0.105 0.327 0.560
Pb2 Pb 0.244 0.075 0.870
```

Properties
M_tot in μB per atom: 0.000
E in eV/atom: -4.034

NaRh2Pb2: relaxed, PBE.

```
data_NaRh2Pb2
_chemical_formula_sum 'Na2 Rh4 Pb4'
_symmetry_space_group_name_H-M 'P 4/m b m'
_symmetry_Int_Tables_number 127
_symmetry_space_group_name_Hall '-P 4 2ab'
_cell_length_a 8.006
_cell_length_b 8.006
_cell_length_c 3.197
_cell_angle_alpha 90.00
_cell_angle_beta 90.00
_cell_angle_gamma 90.00
loop_
_atom_site_label
_atom_site_type_symbol
_atom_site_fract_x
_atom_site_fract_y
_atom_site_fract_z
Na1 Na 0.000 0.000 0.000
Rh1 Rh 0.134 0.366 0.000
Pb1 Pb 0.161 0.661 0.500
```

Properties
M_tot in μB per atom: 0.000
E in eV/atom: -4.755

Na2Rh2Pb: relaxed, PBE.

```
data_Na2Rh2Pb
_chemical_formula_sum 'Na4 Rh4 Pb2'
_symmetry_space_group_name_H-M 'P 4/m b m'
_symmetry_Int_Tables_number 127
_symmetry_space_group_name_Hall '-P 4 2ab'
_cell_length_a 6.754
_cell_length_b 6.754
_cell_length_c 4.812
_cell_angle_alpha 90.00
_cell_angle_beta 90.00
_cell_angle_gamma 90.00
loop_
_atom_site_label
_atom_site_type_symbol
_atom_site_fract_x
_atom_site_fract_y
_atom_site_fract_z
Na1 Na 0.165 0.335 0.000
Rh1 Rh 0.132 0.632 0.500
Pb1 Pb 0.000 0.000 0.500
```

Properties
M_tot in μB per atom: 0.000
E in eV/atom: -4.151

NaRhPb2: relaxed, PBE.

```
data_NaRhPb2
_chemical_formula_sum 'Na8 Rh8 Pb16'
_symmetry_space_group_name_H-M 'P n m a'
_symmetry_Int_Tables_number 62
_cell_length_a 16.058
_cell_length_b 8.048
_cell_length_c 6.064
_cell_angle_alpha 90.00
_cell_angle_beta 90.00
_cell_angle_gamma 90.00
loop_
_symmetry_equiv_pos_as_xyz
'x,y,z'
'-x,-y,-z'
'-x+1/2,-y,z+1/2'
'x+1/2,y,-z+1/2'
'x+1/2,-y+1/2,-z+1/2'
'-x+1/2,y+1/2,z+1/2'
'-x,y+1/2,-z'
'x,-y+1/2,z'
loop_
_atom_site_label
_atom_site_type_symbol
_atom_site_fract_x
_atom_site_fract_y
_atom_site_fract_z
Na1 Na 0.107 0.250 0.225
Na2 Na 0.139 0.750 0.014
Rh1 Rh 0.071 0.750 0.508
Rh2 Rh 0.181 0.250 0.735
Pb1 Pb 0.036 0.046 0.750
Pb2 Pb 0.212 0.545 0.487
```

Properties
M_tot in μB per atom: 0.000
E in eV/atom: -4.128

Na2RhPb5: relaxed, PBE.

```
data_Na2RhPb5
_chemical_formula_sum 'Na2 Rh1 Pb5'
_symmetry_space_group_name_H-M 'P 4/m m m'
_symmetry_Int_Tables_number 123
_symmetry_space_group_name_Hall '-P 4 2'
_cell_length_a 7.075
_cell_length_b 7.075
_cell_length_c 5.151
_cell_angle_alpha 90.00
_cell_angle_beta 90.00
_cell_angle_gamma 90.00
loop_
_atom_site_label
_atom_site_type_symbol
_atom_site_fract_x
_atom_site_fract_y
_atom_site_fract_z
Na1 Na 0.000 0.500 0.000
Rh1 Rh 0.000 0.000 0.500
Pb1 Pb 0.000 0.000 0.000
Pb2 Pb 0.279 0.279 0.500
```

Properties
M_tot in μB per atom: 0.000
E in eV/atom: -3.533

NaRhPb2: relaxed, PBE.

```
data_NaRhPb2
_chemical_formula_sum 'Na3 Rh3 Pb6'
_symmetry_space_group_name_H-M 'R -3 m'
_symmetry_Int_Tables_number 166
_symmetry_space_group_name_Hall '-R 3 2"'
_cell_length_a 3.5326
_cell_length_b 3.5326
_cell_length_c 27.7853
_cell_angle_alpha 90.00
_cell_angle_beta 90.00
_cell_angle_gamma 120.00
loop_
_atom_site_label
_atom_site_type_symbol
_atom_site_fract_x
_atom_site_fract_y
_atom_site_fract_z
Na1 Na 0.0000 0.0000 0.0000
Rh1 Rh 0.0000 0.0000 0.5000
Pb1 Pb 0.0000 0.0000 0.2359
```

Properties
M_tot in μB per atom: 0.000
E in eV/atom: -4.051

NaRh2Pb2: relaxed, PBE.

```
data_NaRh2Pb2
_chemical_formula_sum 'Na2 Rh4 Pb4'
_symmetry_space_group_name_H-M 'I 4/m m m'
_symmetry_Int_Tables_number 139
_symmetry_space_group_name_Hall '-I 4 2'
_cell_length_a 4.366
_cell_length_b 4.366
_cell_length_c 12.441
_cell_angle_alpha 90.00
_cell_angle_beta 90.00
_cell_angle_gamma 90.00
loop_
_atom_site_label
_atom_site_type_symbol
_atom_site_fract_x
_atom_site_fract_y
_atom_site_fract_z
Na1 Na 0.000 0.000 0.000
Rh1 Rh 0.000 0.500 0.250
Pb1 Pb 0.000 0.000 0.375
```

Properties
M_tot in μB per atom: 0.000
E in eV/atom: -4.716

Na2Rh3Pb8: relaxed, PBE.

```
data_Na2Rh3Pb8
_chemical_formula_sum 'Na2 Rh3 Pb8'
_symmetry_space_group_name_H-M 'P 1 2/m 1'
_symmetry_Int_Tables_number 10
_cell_length_a 9.350
_cell_length_b 4.421
_cell_length_c 9.740
_cell_angle_alpha 90.00
_cell_angle_beta 115.65
_cell_angle_gamma 90.00
loop_
_symmetry_equiv_pos_as_xyz
'x,y,z'
'-x,-y,-z'
'-x,y,-z'
'x,-y,z'
loop_
_atom_site_label
_atom_site_type_symbol
_atom_site_fract_x
_atom_site_fract_y
_atom_site_fract_z
Na1 Na 0.197 0.000 0.165
Rh1 Rh 0.000 0.000 0.500
Rh2 Rh 0.226 0.500 0.650
Pb1 Pb 0.064 0.500 0.334
Pb2 Pb 0.239 0.000 0.838
Pb3 Pb 0.352 0.000 0.557
Pb4 Pb 0.453 0.500 0.144
```

Properties
M_tot in μB per atom: 0.000
E in eV/atom: -4.266

NaRh6Pb6: relaxed, PBE.

```
data_NaRh6Pb6
_chemical_formula_sum 'Na2 Rh12 Pb12'
_symmetry_space_group_name_H-M 'I m m m'
_symmetry_Int_Tables_number 71
_symmetry_space_group_name_Hall '-I 2 2'
_cell_length_a 5.807
_cell_length_b 9.002
_cell_length_c 10.032
_cell_angle_alpha 90.00
_cell_angle_beta 90.00
_cell_angle_gamma 90.00
loop_
_atom_site_label
_atom_site_type_symbol
_atom_site_fract_x
_atom_site_fract_y
_atom_site_fract_z
Na1 Na 0.000 0.000 0.000
Rh1 Rh 0.000 0.249 0.500
Rh2 Rh 0.250 0.250 0.250
Pb1 Pb 0.000 0.000 0.332
Pb2 Pb 0.000 0.327 0.000
Pb3 Pb 0.000 0.500 0.335
```

Properties
M_tot in μB per atom: 0.000
E in eV/atom: -5.309